Record 1
# InReHg2Br PBE optimized geometry
data_InReHg2Br
_cell_length_a 5.472
_cell_length_b 5.472
_cell_length_c 4.778
_cell_angle_alpha 90.00
_cell_angle_beta 90.00
_cell_angle_gamma 90.00
_symmetry_space_group_name_H-M 'P 4/m m m'
_symmetry_Int_Tables_number 123
_symmetry_space_group_name_Hall '-P 4 2'
loop_
_atom_site_label
_atom_site_fract_x
_atom_site_fract_y
_atom_site_fract_z
In1 0.000 0.000 0.000
Re1 0.500 0.500 0.500
Hg1 0.000 0.500 0.500
Br1 0.500 0.500 0.000
# Energy relative to the elements, uncorrected, eV per atom: 0.642
# Energy relative to the lowest polymorph listed for this composition, meV/atom: 9


Record 2
# Tb3Br3N PBE optimized geometry
data_Tb3Br3N
_cell_length_a 6.4782
_cell_length_b 6.4782
_cell_length_c 31.7256
_cell_angle_alpha 90.00
_cell_angle_beta 90.00
_cell_angle_gamma 120.00
_symmetry_space_group_name_H-M 'R -3'
_symmetry_Int_Tables_number 148
_symmetry_space_group_name_Hall '-R 3'
loop_
_atom_site_label
_atom_site_fract_x
_atom_site_fract_y
_atom_site_fract_z
Tb1 0.0000 0.3515 0.4582
Br1 0.0000 0.3278 0.6027
N1 0.0000 0.0000 0.1667
# Energy relative to the elements, uncorrected, eV per atom: -1.559


Record 3
# Tl2SiMo PBE optimized geometry
data_Tl2SiMo
_cell_length_a 7.013
_cell_length_b 7.013
_cell_length_c 7.013
_cell_angle_alpha 90.00
_cell_angle_beta 90.00
_cell_angle_gamma 90.00
_symmetry_space_group_name_H-M 'F -4 3 m'
_symmetry_Int_Tables_number 216
_symmetry_space_group_name_Hall 'F -4 2 3'
loop_
_atom_site_label
_atom_site_fract_x
_atom_site_fract_y
_atom_site_fract_z
Tl1 0.000 0.000 0.000
Tl2 0.250 0.250 0.250
Si1 0.000 0.000 0.500
Mo1 0.250 0.250 0.750
# Energy relative to the elements, uncorrected, eV per atom: 0.977
# Energy relative to the lowest polymorph listed for this composition, meV/atom: 687


Record 4
# Ti2InNi PBE optimized geometry
data_Ti2InNi
_cell_length_a 7.212
_cell_length_b 7.212
_cell_length_c 5.429
_cell_angle_alpha 90.00
_cell_angle_beta 90.00
_cell_angle_gamma 90.00
_symmetry_space_group_name_H-M 'I -4 2 d'
_symmetry_Int_Tables_number 122
_symmetry_space_group_name_Hall 'I -4 2bw'
loop_
_atom_site_label
_atom_site_fract_x
_atom_site_fract_y
_atom_site_fract_z
Ti1 0.195 0.250 0.125
In1 0.000 0.000 0.500
Ni1 0.000 0.000 0.000
# Energy relative to the lowest polymorph listed for this composition, meV/atom: 315
# Formation enthalpy at 0 K, eV/atom: 0.084


Record 5
# Tb2Nd2Hg PBE optimized geometry
data_Tb2Nd2Hg
_cell_length_a 3.655
_cell_length_b 3.655
_cell_length_c 23.191
_cell_angle_alpha 90.00
_cell_angle_beta 90.00
_cell_angle_gamma 90.00
_symmetry_space_group_name_H-M 'I 4/m m m'
_symmetry_Int_Tables_number 139
_symmetry_space_group_name_Hall '-I 4 2'
loop_
_atom_site_label
_atom_site_fract_x
_atom_site_fract_y
_atom_site_fract_z
Tb1 0.000 0.000 0.084
Nd1 0.000 0.000 0.306
Hg1 0.000 0.000 0.500
# Energy relative to the lowest polymorph listed for this composition, meV/atom: 0
# Formation enthalpy at 0 K, eV/atom: -0.183


Record 6
# Tc2NiTe2 PBE optimized geometry
data_Tc2NiTe2
_cell_length_a 6.760
_cell_length_b 6.760
_cell_length_c 3.949
_cell_angle_alpha 90.00
_cell_angle_beta 90.00
_cell_angle_gamma 90.00
_symmetry_space_group_name_H-M 'P 4/m b m'
_symmetry_Int_Tables_number 127
_symmetry_space_group_name_Hall '-P 4 2ab'
loop_
_atom_site_label
_atom_site_fract_x
_atom_site_fract_y
_atom_site_fract_z
Tc1 0.134 0.366 0.000
Ni1 0.000 0.000 0.000
Te1 0.169 0.669 0.500
# Energy relative to the elements, uncorrected, eV per atom: 0.430
# Energy relative to the lowest polymorph listed for this composition, meV/atom: 0


Record 7
# Cs3Er3ScSe8 PBE optimized geometry
data_Cs3Er3ScSe8
_cell_length_a 8.2149
_cell_length_b 8.2149
_cell_length_c 25.7300
_cell_angle_alpha 90.00
_cell_angle_beta 90.00
_cell_angle_gamma 120.00
_symmetry_space_group_name_H-M 'R -3 m'
_symmetry_Int_Tables_number 166
_symmetry_space_group_name_Hall '-R 3 2"'
loop_
_atom_site_label
_atom_site_fract_x
_atom_site_fract_y
_atom_site_fract_z
Cs1 0.0000 0.5000 0.0000
Er1 0.0000 0.5000 0.5000
Sc1 0.0000 0.0000 0.5000
Se1 0.0000 0.0000 0.2284
Se2 0.0092 0.5046 0.2265
# Energy relative to the elements, uncorrected, eV per atom: -1.630


Record 8
# CaIr3Pd PBE optimized geometry
data_CaIr3Pd
_cell_length_a 4.825
_cell_length_b 4.825
_cell_length_c 4.825
_cell_angle_alpha 90.00
_cell_angle_beta 90.00
_cell_angle_gamma 90.00
_symmetry_space_group_name_H-M 'P m -3 m'
_symmetry_Int_Tables_number 221
_symmetry_space_group_name_Hall '-P 4 2 3'
loop_
_atom_site_label
_atom_site_fract_x
_atom_site_fract_y
_atom_site_fract_z
Ca1 0.000 0.000 0.000
Ir1 0.000 0.500 0.500
Pd1 0.500 0.500 0.500
# Energy relative to the lowest polymorph listed for this composition, meV/atom: 0
# Formation enthalpy at 0 K, eV/atom: 1.295


Number 1: E_tot -2.85 eV per atom, total magnetization 0.00 μB per atom. Number 2: E_tot -5.45 eV per atom, total magnetization 0.00 μB per atom. Number 3: E_tot -4.27 eV per atom, total magnetization 0.53 μB per atom. Number 4: E_tot -5.99 eV per atom, total magnetization 0.00 μB per atom. Number 5: E_tot -4.00 eV per atom, total magnetization 0.06 μB per atom. Number 6: E_tot -6.13 eV per atom, total magnetization 0.00 μB per atom. Number 7: E_tot -4.99 eV per atom, total magnetization 0.00 μB per atom. Number 8: E_tot -5.46 eV per atom, total magnetization 0.68 μB per atom.